Entry 1:
CeSc2CdAu4 | Alexandria | GGA-PBE | optimized geometry; E_tot = -37.5 eV/f.u.; symmetry = No. 166; total magnetization = 0.9 μB/f.u.
1.0
-2.7466 2.7113 -2.7994
-0.0716 -0.7426 -4.7091
-7.5680 -5.0289 -1.5055
Ce Cd Sc Au
1 1 2 4
Direct
0.0000 0.0000 0.0000
0.5000 0.5000 0.5000
0.7629 0.7629 0.7112
0.2371 0.2371 0.2888
0.6091 0.6091 0.1728
0.8803 0.8803 0.3592
0.3909 0.3909 0.8272
0.1197 0.1197 0.6408

Entry 2:
Mn2HRh | Alexandria | GGA-PBE | optimized geometry; E_tot = -26.8 eV/f.u.; symmetry = No. 225; total magnetization = 8.0 μB/f.u.; excess energy over the best structure of this formula in the dataset = 2.36 eV/f.u.
1.0
1.4726 -1.5472 3.5750
-2.1641 0.4813 3.5254
-1.8549 -3.2821 1.7692
Rh Mn H
1 2 1
Direct
0.5000 0.5000 0.5000
0.7500 0.7500 0.7500
0.2500 0.2500 0.2500
0.0000 0.0000 0.0000

Entry 3:
PmPr6Ho3Tm2 | Alexandria | GGA-PBE | optimized geometry; E_tot = -55.9 eV/f.u.; symmetry = No. 12; total magnetization = 0.0 μB/f.u.
1.0
6.3000 -0.0008 0.0124
-3.1491 5.4564 0.0124
-1.0707 -1.8539 11.6787
Ho Pr Tm Pm
3 6 2 1
Direct
0.1667 0.8333 0.5000
0.8333 0.1667 0.5000
0.5000 0.5000 0.5000
0.2501 0.2501 0.7496
0.5820 0.9161 0.7493
0.9161 0.5820 0.7493
0.7499 0.7499 0.2504
0.4180 0.0839 0.2507
0.0839 0.4180 0.2507
0.3334 0.6666 0.0000
0.6666 0.3334 0.0000
0.0000 0.0000 0.0000

Copy entry 1 word for word.
CeSc2CdAu4 | Alexandria | GGA-PBE | optimized geometry; E_tot = -37.5 eV/f.u.; symmetry = No. 166; total magnetization = 0.9 μB/f.u.
1.0
-2.7466 2.7113 -2.7994
-0.0716 -0.7426 -4.7091
-7.5680 -5.0289 -1.5055
Ce Cd Sc Au
1 1 2 4
Direct
0.0000 0.0000 0.0000
0.5000 0.5000 0.5000
0.7629 0.7629 0.7112
0.2371 0.2371 0.2888
0.6091 0.6091 0.1728
0.8803 0.8803 0.3592
0.3909 0.3909 0.8272
0.1197 0.1197 0.6408